# 1
Compound: ErThSbTe
Source: the Alexandria database
Functional: PBE-GGA
Structure: relaxed

The structure belongs to space group F-43m (No. 216); the cell edges are 7.618, 7.618 and 7.618 Å and the angles 90.00°, 90.00° and 90.00°. Symmetry generates all atoms from Er at (0.000, 0.000, 0.000), Th at (0.000, 0.000, 0.500), Sb at (0.250, 0.250, 0.250) and Te at (0.250, 0.250, 0.750).

For the raw formation energy, the calculation gives -0.9477 eV/atom. The calculation puts the offset from the most stable computed form at 0.100 eV per atom. For the final energy, the calculation gives -5.759 eV/atom.

---

# 2
Compound: Er4TlSbTe2
Source: the Alexandria database
Functional: PBE-GGA
Structure: relaxed

The structure belongs to space group P2/m (No. 10); the cell edges are 7.595, 4.273 and 7.597 Å and the angles 90.00°, 108.70° and 90.00°. Symmetry generates all atoms from Er at (0.236, 0.000, 0.250), Er at (0.240, 0.500, 0.746), Tl at (0.000, 0.000, 0.500), Sb at (0.000, 0.500, 0.000), Te at (0.500, 0.000, 0.000) and Te at (0.500, 0.500, 0.500).

For the raw formation energy, the calculation gives -0.9781 eV/atom. For the final energy, the calculation gives -4.856 eV/atom.

---

# 3
Compound: Er2Tl3SbTe6
Source: the Alexandria database
Functional: PBE-GGA
Structure: relaxed

The structure belongs to space group C2/m (No. 12); the cell edges are 7.715, 13.372 and 8.508 Å and the angles 90.00°, 107.60° and 90.00°. Symmetry generates all atoms from Er at (0.000, 0.167, 0.000), Tl at (0.000, 0.000, 0.500), Tl at (0.000, 0.332, 0.500), Sb at (0.000, 0.500, 0.000), Te at (0.237, 0.000, 0.212) and Te at (0.237, 0.333, 0.211).

For the raw formation energy, the calculation gives -0.7650 eV/atom. For the final energy, the calculation gives -4.031 eV/atom.

---

# 4
Compound: ErTl2SbTe4
Source: the Alexandria database
Functional: PBE-GGA
Structure: relaxed

The structure belongs to space group P2/m (No. 10); the cell edges are 7.759, 4.457 and 8.474 Å and the angles 90.00°, 107.67° and 90.00°. Symmetry generates all atoms from Er at (0.000, 0.000, 0.000), Tl at (0.000, 0.500, 0.500), Tl at (0.500, 0.000, 0.500), Sb at (0.500, 0.500, 0.000), Te at (0.236, 0.500, 0.211) and Te at (0.260, 0.000, 0.787).

For the raw formation energy, the calculation gives -0.6292 eV/atom. For the final energy, the calculation gives -3.877 eV/atom.

---

Record-wise calculated density values, in kg/m³: 9744; 8891; 7285; 7186